1.
! CeTiCoS3, relaxed, DFT GGA-PBE; values from VASP
&SYSTEM
  ibrav = 0, nat = 12, ntyp = 4
/
ATOMIC_SPECIES
Co 58.93 Co.upf
S 32.06 S.upf
Ce 140.12 Ce.upf
Ti 47.87 Ti.upf
CELL_PARAMETERS angstrom
-2.878 -2.203 0.492
3.193 -2.832 5.999
-4.356 6.306 2.764
ATOMIC_POSITIONS angstrom
Co -1.037 -1.658 6.904
Co -3.003 2.929 2.351
S 0.127 -3.352 6.126
S -0.324 0.260 6.067
S -3.716 1.011 3.188
S -1.408 -1.944 3.453
S -4.167 4.623 3.129
S -2.632 3.215 5.802
Ce -1.168 0.446 1.962
Ce -2.872 0.825 7.293
Ti -4.766 2.684 4.532
Ti 0.726 -1.412 4.723
! - SG: P2_1/m (11)
! - Formation energy (no corrections): -135.3 kJ per mole of atoms


2.
! CeTlCoS3, relaxed, DFT GGA-PBE; values from VASP
&SYSTEM
  ibrav = 0, nat = 12, ntyp = 4
/
ATOMIC_SPECIES
S 32.06 S.upf
Tl 204.38 Tl.upf
Co 58.93 Co.upf
Ce 140.12 Ce.upf
CELL_PARAMETERS angstrom
-2.409 -2.827 1.269
-0.479 -3.328 -8.323
6.982 -4.106 4.109
ATOMIC_POSITIONS angstrom
S 2.350 -5.433 -4.607
S 1.743 -4.827 1.663
S -0.948 -4.254 -2.171
S 5.246 -4.573 2.810
S -1.153 -5.688 -5.754
S 5.041 -6.006 -0.773
Tl 0.821 -2.222 -0.356
Tl 3.272 -8.038 -2.588
Co 0.651 -6.876 -4.976
Co 3.442 -3.384 2.032
Ce 3.845 -6.615 1.670
Ce 0.248 -3.645 -4.614
! - SG: P2_1/m (11)
! - Formation energy (no corrections): -101.3 kJ per mole of atoms


3.
! Ce2Tl3CoS6, relaxed, DFT GGA-PBE; values from VASP
&SYSTEM
  ibrav = 0, nat = 12, ntyp = 4
/
ATOMIC_SPECIES
S 32.06 S.upf
Ce 140.12 Ce.upf
Tl 204.38 Tl.upf
Co 58.93 Co.upf
CELL_PARAMETERS angstrom
6.795 0.025 -0.002
-3.374 5.898 -0.002
-1.142 -1.978 7.531
ATOMIC_POSITIONS angstrom
S -1.042 1.832 1.432
S -0.052 -0.091 6.017
S 2.331 4.036 1.510
S 2.108 0.013 1.432
S 3.321 2.113 6.095
S 0.171 3.932 6.095
Ce 3.405 1.983 -0.002
Ce 0.016 3.940 -0.002
Tl 4.488 0.039 3.763
Tl -2.209 3.906 3.763
Tl 1.139 1.973 3.763
Co 0.000 0.000 0.000
! - SG: C2/m (12)
! - Formation energy (no corrections): -94.1 kJ per mole of atoms


4.
! CeUCoS4, relaxed, DFT GGA-PBE; values from VASP
&SYSTEM
  ibrav = 0, nat = 14, ntyp = 4
/
ATOMIC_SPECIES
S 32.06 S.upf
Co 58.93 Co.upf
Ce 140.12 Ce.upf
U 238.03 U.upf
CELL_PARAMETERS angstrom
6.322 0.000 0.106
0.000 5.752 0.000
-2.337 0.000 7.278
ATOMIC_POSITIONS angstrom
S -1.628 2.936 5.448
S 5.613 2.816 1.936
S 5.613 0.060 1.936
S 2.432 4.314 0.936
S -1.628 5.692 5.448
S 1.270 4.314 4.423
S 1.553 1.438 6.449
S 2.715 1.438 2.962
Co 3.240 1.438 5.045
Co 0.745 4.314 2.339
Ce 2.514 4.314 6.883
Ce 1.471 1.438 0.501
U 0.245 1.438 4.079
U 3.740 4.314 3.306
! - SG: P2_1/m (11)
! - Formation energy (no corrections): -131.7 kJ per mole of atoms


5.
! Ce2UCoS5, relaxed, DFT GGA-PBE; values from VASP
&SYSTEM
  ibrav = 0, nat = 18, ntyp = 4
/
ATOMIC_SPECIES
Co 58.93 Co.upf
Ce 140.12 Ce.upf
S 32.06 S.upf
U 238.03 U.upf
CELL_PARAMETERS angstrom
-0.170 3.646 0.932
-3.257 -0.123 -7.725
-10.871 -1.684 4.611
ATOMIC_POSITIONS angstrom
Co -10.426 0.466 3.893
Co -7.509 0.809 -4.532
Ce -8.394 -0.773 1.498
Ce -4.546 -0.213 0.006
Ce -4.797 2.784 -4.149
Ce -11.927 1.715 -1.265
S -3.441 2.163 -1.475
S -2.835 1.412 1.574
S -6.814 1.479 0.588
S -11.483 0.424 -3.747
S -2.531 1.127 -4.871
S -6.048 0.462 -2.907
S -9.542 -0.120 -1.265
S -10.695 0.998 1.762
S -0.184 0.044 -0.206
S -8.827 2.614 -4.218
U -1.457 0.557 -2.445
U -7.960 2.038 -1.807
! - SG: Cmc2_1 (36)
! - Formation energy (no corrections): -149.7 kJ per mole of atoms


6.
! Ce12Co6Sb, relaxed, DFT GGA-PBE; values from VASP
&SYSTEM
  ibrav = 0, nat = 19, ntyp = 3
/
ATOMIC_SPECIES
Co 58.93 Co.upf
Ce 140.12 Ce.upf
Sb 121.76 Sb.upf
CELL_PARAMETERS angstrom
-2.199 -3.118 -7.396
5.925 5.747 -1.063
2.905 -6.118 4.836
ATOMIC_POSITIONS angstrom
Co 1.689 -3.674 -4.315
Co 4.668 -3.499 0.968
Co 1.600 -4.670 -0.747
Co 4.941 0.186 0.692
Co 1.962 0.010 -4.591
Co 5.030 1.181 -2.876
Ce 2.845 -1.763 0.705
Ce 3.907 -4.232 -1.691
Ce 6.237 -1.906 2.154
Ce 5.477 2.433 -0.341
Ce 2.476 -5.242 1.558
Ce 1.154 -5.922 -3.282
Ce 3.785 -1.725 -4.327
Ce 4.155 1.753 -5.180
Ce 0.882 -2.374 -2.299
Ce 2.724 0.743 -1.931
Ce 5.748 -1.114 -1.324
Ce 0.394 -1.583 -5.777
Sb 0.000 0.000 0.000
! - SG: Im-3 (204)
! - Formation energy (no corrections): -21.3 kJ per mole of atoms


7.
! CeCo4Sb12, relaxed, DFT GGA-PBE; values from VASP
&SYSTEM
  ibrav = 0, nat = 17, ntyp = 3
/
ATOMIC_SPECIES
Sb 121.76 Sb.upf
Co 58.93 Co.upf
Ce 140.12 Ce.upf
CELL_PARAMETERS angstrom
-2.111 6.831 -3.510
-4.678 -5.889 -2.623
-0.801 0.713 7.893
ATOMIC_POSITIONS angstrom
Sb -2.295 -0.507 2.463
Sb -4.124 -2.235 4.221
Sb -4.444 2.176 2.952
Sb -3.466 3.890 -2.462
Sb -2.066 2.665 0.470
Sb -5.295 2.162 -0.703
Sb -4.553 -3.528 -0.173
Sb -5.525 -1.010 1.289
Sb -2.179 1.862 4.999
Sb -3.037 5.183 1.933
Sb -5.411 -0.207 -3.240
Sb -3.146 -0.521 -1.193
Co -1.055 3.416 -1.755
Co -0.401 0.356 3.946
Co -2.339 -2.944 -1.311
Co -3.795 0.827 0.880
Ce 0.000 0.000 0.000
! - SG: Im-3 (204)
! - Formation energy (no corrections): -23.5 kJ per mole of atoms


8.
! CeCoSb3, relaxed, DFT GGA-PBE; values from VASP
&SYSTEM
  ibrav = 0, nat = 40, ntyp = 3
/
ATOMIC_SPECIES
Co 58.93 Co.upf
Sb 121.76 Sb.upf
Ce 140.12 Ce.upf
CELL_PARAMETERS angstrom
6.178 0.000 0.000
0.000 12.156 0.000
0.000 0.000 12.498
ATOMIC_POSITIONS angstrom
Co 0.231 7.726 1.262
Co 5.947 4.430 11.236
Co 2.858 1.648 1.262
Co 5.947 1.648 11.236
Co 0.231 10.508 1.262
Co 3.320 10.508 11.236
Co 2.858 4.430 1.262
Co 3.320 7.726 11.236
Sb 3.796 3.039 11.806
Sb 3.185 7.593 6.282
Sb 0.096 7.593 6.216
Sb 4.516 3.039 2.772
Sb 4.633 6.078 0.351
Sb 4.633 6.078 9.678
Sb 6.082 4.563 6.282
Sb 1.544 6.078 12.147
Sb 2.993 1.515 6.216
Sb 1.544 0.000 2.820
Sb 1.427 3.039 9.726
Sb 5.471 9.117 11.806
Sb 4.633 0.000 0.351
Sb 1.662 9.117 9.726
Sb 1.544 0.000 12.147
Sb 2.993 4.563 6.216
Sb 0.707 3.039 0.692
Sb 0.096 10.641 6.216
Sb 2.382 9.117 0.692
Sb 6.082 1.515 6.282
Sb 3.185 10.641 6.282
Sb 4.751 9.117 2.772
Sb 4.633 0.000 9.678
Sb 1.544 6.078 2.820
Ce 1.544 6.078 8.753
Ce 1.388 3.039 3.779
Ce 4.633 6.078 3.745
Ce 4.790 9.117 8.720
Ce 1.701 9.117 3.779
Ce 4.477 3.039 8.720
Ce 4.633 0.000 3.745
Ce 1.544 0.000 8.753
! - SG: Pbcm (57)
! - Formation energy (no corrections): -54.0 kJ per mole of atoms